[1]
Here is a geometry-optimized AlSb2H structure from Alexandria via LeMat-Bulk. Energies are from PBE-GGA.

The calculation puts the magnetic moment at 0.0 μB per formula unit. As for the distance to the lowest polymorph of the same formula: 0 meV per atom. As for the calculated volume: 22.6 A^3/atom.

Unit cell a=5.9216 b=5.9216 c=6.6483 alpha=63.55 beta=63.55 gamma=90.00
Positions (direct):
Sb  0.5502  0.1250  0.2500
Sb  0.1998  0.6250  0.2500
Sb  0.3750  0.4498  0.7500
Sb  0.8750  0.8002  0.7500
Al  0.0000  0.0000  0.0000
Al  0.7500  0.2500  0.5000
H  0.5000  0.5000  0.0000
H  0.2500  0.7500  0.5000

***

[2]
Here is a geometry-optimized Ca2CdHRu structure from Alexandria via LeMat-Bulk. Energies are from PBE-GGA.

The calculation puts the magnetic moment at 0.0 μB per formula unit. The value obtained for the final energy is -3.375 eV/atom. As for the calculated volume: 21.7 A^3/atom.

Unit cell a=5.5705 b=3.4936 c=5.5705 alpha=90.00 beta=90.00 gamma=90.00
Positions (direct):
Ru  0.0000  0.0000  0.0000
Ca  0.0000  0.0000  0.5000
Ca  0.5000  0.0000  0.0000
H  0.0000  0.5000  0.0000
Cd  0.5000  0.5000  0.5000

***

[3]
Here is a geometry-optimized CrGeSbPt2 structure from Alexandria via LeMat-Bulk. Energies are from PBE-GGA.

As for the formation energy from raw total energies: 0.416 eV/atom. The calculation puts the magnetic moment at 3.4 μB per formula unit. As for the calculated volume: 20.8 A^3/atom.

Unit cell a=4.7061 b=4.6849 c=4.7061 alpha=90.00 beta=90.00 gamma=90.00
Site moments in Bohr magnetons follow the coordinates.
Positions (direct):
Sb  0.5000  0.5000  0.5000  -0.08
Ge  0.0000  0.0000  0.0000  -0.05
Pt  0.0000  0.0000  0.5000  -0.05
Pt  0.5000  0.0000  0.0000  0.03
Cr  0.0000  0.5000  0.0000  3.35

***

[4]
Here is a geometry-optimized LaSm2Ir2 structure from Alexandria via LeMat-Bulk. Energies are from PBE-GGA.

The calculation puts the magnetic moment at 0.0 μB per formula unit. For the formation energy, the calculation gives -0.631 eV/atom. As for the distance to the lowest polymorph of the same formula: 36 meV per atom. As for the calculated volume: 26.9 A^3/atom.

Unit cell a=4.0059 b=6.9837 c=10.0310 alpha=90.00 beta=90.00 gamma=106.67
Positions (direct):
La  0.9031  0.8061  0.1471
La  0.0969  0.1939  0.6471
Sm  0.6447  0.2894  0.9637
Sm  0.3553  0.7106  0.8304
Sm  0.3553  0.7106  0.4637
Sm  0.6447  0.2894  0.3304
Ir  0.2463  0.4927  0.1471
Ir  0.0000  0.0000  0.8971
Ir  0.7537  0.5073  0.6471
Ir  0.0000  0.0000  0.3971

***

[5]
Here is a geometry-optimized ReAg structure from Alexandria via LeMat-Bulk. Energies are from PBE-GGA.

The calculation puts the magnetic moment at 0.0 μB per formula unit. For the formation energy, the calculation gives 0.398 eV/atom. As for the distance to the lowest polymorph of the same formula: 151 meV per atom. As for the calculated volume: 16.9 A^3/atom.

Unit cell a=2.9382 b=2.9382 c=7.8170 alpha=90.00 beta=90.00 gamma=90.00
Positions (direct):
Re  0.0000  0.0000  0.5303
Re  0.5000  0.5000  0.7197
Ag  0.0000  0.0000  0.9950
Ag  0.5000  0.5000  0.2550

***

[6]
Here is a geometry-optimized Nd2TaGe4Rh3 structure from Alexandria via LeMat-Bulk. Energies are from PBE-GGA.

The calculation puts the magnetic moment at 0.0 μB per formula unit. For the formation energy, the calculation gives -0.717 eV/atom. As for the calculated volume: 19.1 A^3/atom.

Unit cell a=4.2102 b=4.2102 c=10.7830 alpha=90.00 beta=90.00 gamma=90.00
Positions (direct):
Nd  0.5000  0.0000  0.2394
Nd  0.0000  0.5000  0.7606
Ta  0.5000  0.5000  0.5000
Ge  0.5000  0.5000  0.0000
Ge  0.0000  0.0000  0.0000
Ge  0.5000  0.0000  0.6475
Ge  0.0000  0.5000  0.3525
Rh  0.0000  0.0000  0.5000
Rh  0.5000  0.0000  0.8782
Rh  0.0000  0.5000  0.1218

***

[7]
Here is a geometry-optimized Ce4PCI2 structure from Alexandria via LeMat-Bulk. Energies are from PBE-GGA.

As for the formation energy from raw total energies: -0.921 eV/atom. The calculation puts the magnetic moment at 3.8 μB per formula unit. As for the calculated volume: 26.8 A^3/atom.

Unit cell a=3.9684 b=6.9917 c=8.0506 alpha=106.39 beta=90.00 gamma=90.00
Site moments in Bohr magnetons follow the coordinates.
Positions (direct):
Ce  0.5000  0.2551  0.1867  0.77
Ce  0.5000  0.7449  0.8133  0.77
Ce  0.0000  0.2969  0.8217  0.80
Ce  0.0000  0.7031  0.1783  0.80
P  0.0000  0.0000  0.0000  -0.03
C  0.5000  0.5000  0.0000  -0.05
I  0.5000  0.0000  0.5000  -0.01
I  0.0000  0.5000  0.5000  -0.01

***

[8]
Here is a geometry-optimized YHf3In structure from Alexandria via LeMat-Bulk. Energies are from PBE-GGA.

The calculation puts the magnetic moment at 0.2 μB per formula unit. For the formation energy, the calculation gives 1.000 eV/atom. As for the distance to the lowest polymorph of the same formula: 0 meV per atom. As for the calculated volume: 29.8 A^3/atom.

Unit cell a=5.2989 b=5.2989 c=5.2989 alpha=90.00 beta=90.00 gamma=90.00
Positions (direct):
Y  0.5000  0.5000  0.5000
Hf  0.0000  0.5000  0.0000
Hf  0.0000  0.0000  0.5000
Hf  0.5000  0.0000  0.0000
In  0.0000  0.0000  0.0000